Material: V2HgTeO8
Method: DFT, GGA+U
State: optimized geometry

```
V2HgTeO8
1.0
5.6461 0.0000 0.0000
2.8231 4.8897 0.0000
2.8231 1.6299 8.6371
V Hg Te O
2 1 1 8
direct
0.7683 0.7683 0.6952
0.2317 0.2317 0.3048
0.0000 0.0000 0.0000
0.5000 0.5000 0.5000
0.7063 0.7063 0.8810
0.2937 0.2937 0.1190
0.3848 0.3848 0.3697
0.6152 0.6152 0.6303
0.1393 0.6152 0.6303
0.3848 0.8607 0.3697
0.8607 0.3848 0.3697
0.6152 0.1393 0.6303
```

Theoretical density, g/cm3: 3.9
Magnetic moment, μB/atom: 0.000
Symmetry: R-3m
Total DFT energy (no corrections), eV/cell: -73.1